(1)
Here is an optimized crystal structure of CuGeF2 from the Alexandria database. Energies are from PBE.

POSCAR file:
```
CuGeF2
1.0
-4.264 1.010 5.834
-3.064 -1.663 6.409
-1.557 0.826 7.080
Ge Cu F
1 1 2
Direct
0.000 0.000 0.000
0.500 0.500 0.500
0.898 0.898 0.898
0.102 0.102 0.102
```

Properties
**Polymorph energy (0 for the lowest one)**: 0.000 eV per atom

(2)
Here is an optimized crystal structure of SmFeP2Rh from the Alexandria database. Energies are from PBE.

POSCAR file:
```
SmFeP2Rh
1.0
-0.734 -3.862 -0.192
3.716 -0.651 -1.123
-0.157 1.769 5.354
Sm Fe P Rh
1 1 2 1
Direct
0.000 0.000 0.000
0.750 0.250 0.500
0.623 0.623 0.245
0.377 0.377 0.755
0.250 0.750 0.500
```

Properties
**ΔE_f**: -984 meV per atom

(3)
Here is an optimized crystal structure of BaMgTc2O8 from the Alexandria database. Energies are from PBE.

POSCAR file:
```
BaMgTc2O8
1.0
-0.881 5.221 -2.246
1.209 -4.445 -3.444
-7.154 -1.470 -0.613
Ba Mg Tc O
1 1 2 8
Direct
0.000 0.000 0.000
0.000 0.000 0.500
0.667 0.333 0.250
0.333 0.667 0.750
0.333 0.667 0.993
0.322 0.164 0.319
0.836 0.159 0.319
0.667 0.333 0.007
0.164 0.841 0.681
0.678 0.836 0.681
0.159 0.322 0.681
0.841 0.678 0.319
```

Properties
**Energy**: -7.22 eV per atom

(4)
Here is an optimized crystal structure of Np3Pa3TaN8 from the Alexandria database. Energies are from PBE.

POSCAR file:
```
Np3Pa3TaN8
1.0
-6.055 -1.557 2.764
5.748 -2.487 2.740
-1.459 6.596 0.519
Np Pa Ta N
3 3 1 8
Direct
0.000 0.000 0.000
0.000 0.500 0.000
0.500 0.500 0.000
0.500 0.000 0.500
0.500 0.500 0.500
0.000 0.500 0.500
0.000 0.000 0.500
0.250 0.500 0.250
0.750 0.500 0.750
0.772 0.543 0.270
0.228 0.457 0.730
0.772 0.999 0.270
0.228 0.001 0.730
0.227 0.999 0.270
0.773 0.001 0.730
```

Properties
**Energy**: -11.00 eV per atom

(5)
Here is an optimized crystal structure of TlP2Se from the Alexandria database. Energies are from PBE.

POSCAR file:
```
TlP2Se
1.0
-6.536 2.309 -4.397
-8.202 -0.296 -0.104
7.270 1.270 3.593
P Se Tl
2 1 1
Direct
0.000 0.000 0.000
0.500 0.500 0.000
0.250 0.750 0.500
0.750 0.250 0.500
```

Properties
**Polymorph energy (0 for the lowest one)**: 0.547 eV per atom

(6)
Here is an optimized crystal structure of InTe from the Alexandria database. Energies are from PBE.

POSCAR file:
```
InTe
1.0
4.556 0.000 0.000
0.000 4.834 0.000
0.000 0.000 5.826
In Te
2 2
Direct
0.000 0.000 0.011
0.500 0.500 0.822
0.500 0.000 0.423
0.000 0.500 0.410
```

Properties
**Energy**: -2.97 eV per atom

(7)
Here is an optimized crystal structure of PrPaRh4 from the Alexandria database. Energies are from PBE.

POSCAR file:
```
PrPaRh4
1.0
-2.926 -0.402 -4.489
-3.468 -4.062 -0.592
-5.288 0.940 0.147
Pr Pa Rh
1 1 4
Direct
0.000 0.000 0.000
0.250 0.250 0.250
0.625 0.625 0.126
0.625 0.126 0.625
0.625 0.625 0.625
0.126 0.625 0.625
```

Properties
**ΔE_f**: -618 meV per atom
**Polymorph energy (0 for the lowest one)**: 0.000 eV per atom

(8)
Here is an optimized crystal structure of U4GaRh12 from the Alexandria database. Energies are from PBE.

POSCAR file:
```
U4GaRh12
1.0
6.739 0.000 -2.383
-3.369 5.836 -2.383
0.000 0.000 7.148
U Ga Rh
4 1 12
Direct
0.000 0.000 0.500
0.500 0.000 0.000
0.500 0.500 0.500
0.000 0.500 0.000
0.000 0.000 0.000
0.000 0.286 0.286
0.000 0.714 0.714
0.714 0.714 0.000
0.286 0.286 0.000
0.286 0.000 0.286
0.714 0.000 0.714
0.500 0.250 0.750
0.500 0.750 0.250
0.750 0.250 0.500
0.250 0.750 0.500
0.750 0.500 0.250
0.250 0.500 0.750
```

Properties
**ΔE_f**: -553 meV per atom

(9)
Here is an optimized crystal structure of TbEu2GeO6 from the Alexandria database. Energies are from PBE.

POSCAR file:
```
TbEu2GeO6
1.0
3.039 -0.221 4.895
0.345 4.650 3.391
-2.717 0.068 5.085
Tb Eu Ge O
1 2 1 6
Direct
0.500 0.500 0.500
0.250 0.250 0.250
0.750 0.750 0.750
0.000 0.000 0.000
0.232 0.768 0.232
0.768 0.232 0.768
0.768 0.768 0.232
0.232 0.232 0.768
0.232 0.768 0.768
0.768 0.232 0.232
```

Properties
**Energy**: -8.56 eV per atom

(10)
Here is an optimized crystal structure of La2NdHo3As6 from the Alexandria database. Energies are from PBE.

POSCAR file:
```
La2NdHo3As6
1.0
4.225 0.000 0.000
0.000 8.433 0.310
-2.113 -2.421 8.871
La Nd Ho As
2 1 3 6
Direct
0.834 0.668 0.668
0.166 0.332 0.332
0.500 0.000 0.000
0.500 0.500 0.000
0.833 0.166 0.667
0.167 0.834 0.333
0.331 0.926 0.662
0.663 0.591 0.327
0.669 0.074 0.338
0.997 0.255 0.993
0.003 0.745 0.007
0.337 0.409 0.673
```

Properties
**ΔE_f**: -1529 meV per atom

(11)
Here is an optimized crystal structure of NaTc2BiPd from the Alexandria database. Energies are from PBE.

POSCAR file:
```
NaTc2BiPd
1.0
-2.584 3.703 2.548
-1.582 -3.490 3.468
4.206 0.954 2.878
Na Bi Pd Tc
1 1 1 2
Direct
0.500 0.500 0.500
0.000 0.000 0.000
0.000 0.500 0.000
0.000 0.000 0.500
0.500 0.000 0.000
```

Properties
**ΔE_f**: 1503 meV per atom

(12)
Here is an optimized crystal structure of Pu3Sb2H2 from the Alexandria database. Energies are from PBE.

POSCAR file:
```
Pu3Sb2H2
1.0
-4.706 3.120 5.809
3.866 -1.748 4.071
1.612 6.095 1.087
Pu Sb H
6 4 4
Direct
0.500 0.500 0.000
0.000 0.000 0.000
0.781 0.118 0.634
0.719 0.618 0.366
0.281 0.382 0.634
0.219 0.882 0.366
0.893 0.601 0.773
0.393 0.899 0.773
0.607 0.101 0.227
0.107 0.399 0.227
0.565 0.384 0.645
0.935 0.884 0.355
0.065 0.116 0.645
0.435 0.616 0.355
```

Properties
**Polymorph energy (0 for the lowest one)**: 0.000 eV per atom

(13)
Here is an optimized crystal structure of ZrI2OF from the Alexandria database. Energies are from PBE.

POSCAR file:
```
ZrI2OF
1.0
5.304 0.000 0.000
0.000 5.304 0.000
0.000 0.000 3.662
I O Zr F
2 1 1 1
Direct
0.000 0.500 0.000
0.500 0.000 0.000
0.000 0.000 0.500
0.500 0.500 0.500
0.000 0.000 0.000
```

Properties
**Polymorph energy (0 for the lowest one)**: 1.469 eV per atom

(14)
Here is an optimized crystal structure of TbEr3Tm2Bi6 from the Alexandria database. Energies are from PBE.

POSCAR file:
```
TbEr3Tm2Bi6
1.0
4.445 0.000 0.000
0.000 8.887 0.323
-2.223 -2.554 9.345
Tb Er Tm Bi
1 3 2 6
Direct
0.500 0.000 0.000
0.500 0.500 0.000
0.834 0.167 0.668
0.166 0.833 0.332
0.833 0.667 0.666
0.167 0.333 0.334
0.332 0.915 0.664
0.667 0.583 0.334
0.668 0.085 0.336
0.001 0.253 0.001
0.999 0.747 0.999
0.333 0.417 0.666
```

Properties
**ΔE_f**: -813 meV per atom

(15)
Here is an optimized crystal structure of Ho2Co7 from the Alexandria database. Energies are from PBE.

POSCAR file:
```
Ho2Co7
1.0
4.850 0.000 0.993
2.323 4.257 0.993
-0.002 -0.001 12.349
Ho Co
4 14
Direct
0.051 0.051 0.846
0.949 0.949 0.154
0.148 0.148 0.556
0.852 0.852 0.444
0.500 0.500 0.500
0.279 0.279 0.164
0.721 0.721 0.836
0.389 0.389 0.834
0.611 0.611 0.166
0.500 0.000 0.000
0.000 0.500 0.000
0.500 0.500 0.000
0.610 0.610 0.672
0.610 0.108 0.672
0.108 0.610 0.672
0.390 0.390 0.328
0.390 0.892 0.328
0.892 0.390 0.328
```

Properties
**ΔE_f**: -169 meV per atom

(16)
Here is an optimized crystal structure of MnCuCSeN from the Alexandria database. Energies are from PBE.

POSCAR file:
```
MnCuCSeN
1.0
6.596 0.000 -0.015
0.000 3.006 0.000
-3.292 0.000 7.018
C Mn Cu Se N
2 2 2 2 2
Direct
0.873 0.000 0.072
0.873 0.500 0.572
0.741 0.000 0.651
0.741 0.500 0.151
0.152 0.000 0.717
0.152 0.500 0.217
0.343 0.000 0.504
0.343 0.500 0.004
0.814 0.000 0.892
0.814 0.500 0.392
```

Properties
**Polymorph energy (0 for the lowest one)**: 0.137 eV per atom

(17)
Here is an optimized crystal structure of HfSc2NbPb from the Alexandria database. Energies are from PBE.

POSCAR file:
```
HfSc2NbPb
1.0
4.998 0.000 0.000
0.000 5.444 0.000
0.000 0.000 4.998
Pb Sc Nb Hf
1 2 1 1
Direct
0.000 0.500 0.000
0.000 0.000 0.500
0.500 0.000 0.000
0.500 0.500 0.500
0.000 0.000 0.000
```

Properties
**ΔE_f**: 1319 meV per atom

(18)
Here is an optimized crystal structure of Cr4CdHg2 from the Alexandria database. Energies are from PBE.

POSCAR file:
```
Cr4CdHg2
1.0
5.068 0.000 0.000
0.000 5.068 0.000
2.534 2.534 6.989
Cr Hg Cd
4 2 1
Direct
0.806 0.806 0.388
0.194 0.194 0.612
0.000 0.500 0.000
0.500 0.000 0.000
0.611 0.611 0.778
0.389 0.389 0.222
0.000 0.000 0.000
```

Properties
**ΔE_f**: 1230 meV per atom

(19)
Here is an optimized crystal structure of Pr8PIr3Cl3 from the Alexandria database. Energies are from PBE.

POSCAR file:
```
Pr8PIr3Cl3
1.0
8.453 0.000 0.000
-4.227 7.321 -0.026
0.000 -4.856 7.162
Pr P Ir Cl
8 1 3 3
Direct
0.262 0.525 0.287
0.738 0.475 0.713
0.756 0.512 0.284
0.244 0.488 0.716
0.756 0.028 0.284
0.244 0.972 0.716
0.272 0.028 0.284
0.728 0.972 0.716
0.000 0.000 0.500
0.500 0.000 0.500
0.500 0.500 0.500
0.000 0.500 0.500
0.000 0.000 0.000
0.000 0.500 0.000
0.500 0.500 0.000
```

Properties
**Energy**: -6.14 eV per atom

(20)
Here is an optimized crystal structure of Pr3Nd5Ir2 from the Alexandria database. Energies are from PBE.

POSCAR file:
```
Pr3Nd5Ir2
1.0
-0.377 -5.241 4.746
3.604 -8.727 -4.069
9.006 -1.039 4.850
Pr Nd Ir
6 10 4
Direct
0.250 0.000 0.000
0.750 0.000 0.000
0.317 0.433 0.934
0.683 0.567 0.066
0.817 0.934 0.433
0.183 0.066 0.567
0.250 0.500 0.500
0.750 0.500 0.500
0.516 0.734 0.734
0.984 0.266 0.266
0.484 0.266 0.266
0.016 0.734 0.734
0.066 0.641 0.228
0.934 0.359 0.772
0.566 0.228 0.641
0.434 0.772 0.359
0.150 0.742 0.957
0.850 0.258 0.043
0.650 0.957 0.742
0.350 0.043 0.258
```

Properties
**ΔE_f**: -156 meV per atom

(21)
Here is an optimized crystal structure of Tb2HoGa6 from the Alexandria database. Energies are from PBE.

POSCAR file:
```
Tb2HoGa6
1.0
-1.340 3.485 1.752
-4.812 -3.824 3.923
6.684 1.246 2.636
Tb Ho Ga
2 1 6
Direct
0.000 0.333 0.667
0.000 0.667 0.333
0.000 0.000 0.000
0.500 0.333 0.333
0.500 0.667 0.667
0.500 0.000 0.667
0.500 0.667 0.000
0.500 0.333 0.000
0.500 0.000 0.333
```

Properties
**ΔE_f**: -640 meV per atom
**Polymorph energy (0 for the lowest one)**: 0.000 eV per atom

(22)
Here is an optimized crystal structure of Th2TePb from the Alexandria database. Energies are from PBE.

POSCAR file:
```
Th2TePb
1.0
-0.719 1.207 -4.136
-3.274 -1.800 -2.262
-6.291 5.610 0.425
Th Te Pb
2 1 1
Direct
0.080 0.080 0.761
0.253 0.253 0.240
0.499 0.499 0.502
0.668 0.668 0.997
```

Properties
**Polymorph energy (0 for the lowest one)**: 0.050 eV per atom

(23)
Here is an optimized crystal structure of GaCu3Ir from the Alexandria database. Energies are from PBE.

POSCAR file:
```
GaCu3Ir
1.0
4.689 0.000 0.000
0.000 4.689 0.000
0.000 0.000 4.689
Ir Cu Ga
1 3 1
Direct
0.000 0.000 0.000
0.000 0.500 0.000
0.000 0.000 0.500
0.500 0.000 0.000
0.500 0.500 0.500
```

Properties
**ΔE_f**: 977 meV per atom
**Polymorph energy (0 for the lowest one)**: 0.000 eV per atom